KTl4In, PBEsol geometry, DFT SCAN; ΔE_f = -0.02 eV/atom; DFT total energy = -55.213 eV per atom
1.0
0.000 4.506 4.506
4.506 0.000 4.506
4.506 4.506 0.000
K Tl In
1 4 1
direct
0.000 0.000 0.000
0.376 0.376 0.376
0.376 0.376 0.873
0.376 0.873 0.376
0.873 0.376 0.376
0.750 0.750 0.750

---

TeAuBr8, PBEsol geometry, DFT SCAN; E_form (uncorrected) = -2.58 eV per formula unit; DFT total energy = -26.466 eV per atom
1.0
7.866 0.000 0.000
0.913 8.831 0.000
3.259 -0.069 9.588
Te Au Br
2 2 16
direct
0.127 0.257 0.227
0.873 0.743 0.773
0.499 0.106 0.812
0.501 0.894 0.188
0.100 0.813 0.545
0.109 0.691 0.893
0.141 0.526 0.296
0.216 0.930 0.135
0.228 0.158 0.746
0.417 0.334 0.961
0.419 0.403 0.567
0.428 0.122 0.335
0.572 0.878 0.665
0.581 0.597 0.433
0.583 0.666 0.039
0.772 0.842 0.254
0.784 0.070 0.865
0.859 0.474 0.704
0.891 0.309 0.107
0.900 0.187 0.455

---

Sc2FeMo, PBEsol geometry, DFT SCAN; ΔE_f = 0.59 eV/atom; DFT total energy = -19.784 eV per atom
1.0
2.893 0.000 0.000
-1.447 2.506 0.000
0.000 0.000 27.703
Sc Fe Mo
6 3 3
direct
0.000 0.000 0.097
0.000 0.000 0.903
0.333 0.667 0.569
0.333 0.667 0.764
0.667 0.333 0.236
0.667 0.333 0.431
0.000 0.000 0.500
0.333 0.667 0.167
0.667 0.333 0.833
0.000 0.000 0.000
0.333 0.667 0.667
0.667 0.333 0.333

---

Listing spin magnetization for the structures above in their given order: 0.00 0.00 2.84 Bohr magnetons per cell.